(1)
A relaxed Li6TlCd3 crystal. Source: Alexandria via LeMat-Bulk, functional PBE.

Computed properties:
Distance to the lowest polymorph of the same formula   158 meV/atom
Energy of formation   -0.073 eV per atom

abc: 5.2828 6.9134 6.9134
angles: 113.75 104.76 104.76
With the nearest neighbours (Å) after each atom.
Fractional coordinates of all 10 atoms:
Li 0.1863 0.0000 0.6311  3 Li 2.62-2.92, 1 Tl 2.65, 2 Cd 2.80-2.83
Li 0.1863 0.6311 0.0000  3 Li 2.62-2.92, 1 Tl 2.65, 2 Cd 2.80-2.83
Li 0.0197 0.0000 0.2407  5 Li 2.62-2.92, 1 Tl 2.85
Li 0.0197 0.2407 0.0000  5 Li 2.62-2.92, 1 Tl 2.85
Li 0.7790 0.7593 0.7593  5 Li 2.62-2.92, 1 Tl 2.85
Li 0.5552 0.3689 0.3689  3 Li 2.62-2.92, 1 Tl 2.65, 2 Cd 2.80-2.83
Tl 0.4945 0.0000 0.0000  6 Li 2.65-2.85
Cd 0.6355 0.4861 0.0000  7 Li 2.80-3.06
Cd 0.6355 0.0000 0.4861  7 Li 2.80-3.06
Cd 0.1494 0.5139 0.5139  7 Li 2.80-3.06

---

(2)
A relaxed Li3Tl2Cd2 crystal. Source: Alexandria via LeMat-Bulk, functional PBE.

Computed properties:
Energy of formation   -0.168 eV per atom

abc: 4.4849 5.2775 7.0103
angles: 99.46 90.15 115.23
With the nearest neighbours (Å) after each atom.
Fractional coordinates of all 7 atoms:
Li 0.0000 0.0000 0.0000  2 Cd 2.99, 4 Tl 3.04-3.05, 6 Li 3.08-3.24
Li 0.7069 0.4128 0.1705  4 Tl 2.93-2.96, 3 Cd 2.99-3.00, 3 Li 3.08-3.24
Li 0.2931 0.5872 0.8295  4 Tl 2.93-2.96, 3 Cd 2.99-3.00, 3 Li 3.08-3.24
Tl 0.5891 0.1778 0.7541  6 Li 2.93-3.05, 3 Cd 3.09-3.19
Tl 0.4109 0.8222 0.2459  6 Li 2.93-3.05, 3 Cd 3.09-3.19
Cd 0.8640 0.7290 0.5804  4 Li 2.99-3.00, 3 Cd 3.01-3.20, 5 Tl 3.09-3.34
Cd 0.1360 0.2710 0.4196  4 Li 2.99-3.00, 3 Cd 3.01-3.20, 5 Tl 3.09-3.34

---

(3)
A relaxed LiTl6Cd crystal. Source: Alexandria via LeMat-Bulk, functional PBE.

Computed properties:
Distance to the lowest polymorph of the same formula   13 meV/atom
Energy of formation   0.013 eV per atom

abc: 7.7549 9.1503 6.0691
angles: 45.51 48.63 62.78
With the nearest neighbours (Å) after each atom.
Fractional coordinates of all 8 atoms:
Li 0.5000 0.5000 0.5000  6 Tl 3.05-3.34
Tl 0.0143 0.5649 0.6700  1 Li 3.05, 1 Cd 3.15, 3 Tl 3.15-3.40
Tl 0.7461 0.9184 0.8417  1 Li 3.07, 3 Tl 3.10-3.40, 1 Cd 3.19
Tl 0.5313 0.2537 0.2533  7 Tl 3.25-3.60, 2 Cd 3.30-3.50, 2 Li 3.34-3.55
Tl 0.2539 0.0816 0.1583  1 Li 3.07, 3 Tl 3.10-3.40, 1 Cd 3.19
Tl 0.9857 0.4351 0.3300  1 Li 3.05, 1 Cd 3.15, 3 Tl 3.15-3.40
Tl 0.4687 0.7463 0.7467  7 Tl 3.25-3.60, 2 Cd 3.30-3.50, 2 Li 3.34-3.55
Cd 0.0000 0.0000 0.0000  8 Tl 3.15-3.50

---

(4)
A relaxed Li2TlCd2 crystal. Source: Alexandria via LeMat-Bulk, functional PBE.

Computed properties:
Distance to the lowest polymorph of the same formula   16 meV/atom
Energy of formation   -0.159 eV per atom

abc: 8.0794 8.0794 3.2731
angles: 90.00 90.00 90.00
With the nearest neighbours (Å) after each atom.
Fractional coordinates of all 10 atoms:
Tl 0.0000 0.0000 0.0000  4 Cd 3.16, 2 Tl 3.27, 8 Li 3.43
Tl 0.5000 0.5000 0.0000  4 Cd 3.16, 2 Tl 3.27, 8 Li 3.43
Li 0.1655 0.6655 0.5000  6 Cd 2.85-2.91
Li 0.6655 0.8345 0.5000  6 Cd 2.85-2.91
Li 0.8345 0.3345 0.5000  6 Cd 2.85-2.91
Li 0.3345 0.1655 0.5000  6 Cd 2.85-2.91
Cd 0.3692 0.8692 0.0000  6 Li 2.85-2.91, 1 Cd 2.99, 2 Tl 3.16
Cd 0.8692 0.6308 0.0000  6 Li 2.85-2.91, 1 Cd 2.99, 2 Tl 3.16
Cd 0.6308 0.1308 0.0000  6 Li 2.85-2.91, 1 Cd 2.99, 2 Tl 3.16
Cd 0.1308 0.3692 0.0000  6 Li 2.85-2.91, 1 Cd 2.99, 2 Tl 3.16

---

What did the fourth record say?
A relaxed Li2TlCd2 crystal. Source: Alexandria via LeMat-Bulk, functional PBE.

Computed properties:
Distance to the lowest polymorph of the same formula   16 meV/atom
Energy of formation   -0.159 eV per atom

abc: 8.0794 8.0794 3.2731
angles: 90.00 90.00 90.00
With the nearest neighbours (Å) after each atom.
Fractional coordinates of all 10 atoms:
Tl 0.0000 0.0000 0.0000  4 Cd 3.16, 2 Tl 3.27, 8 Li 3.43
Tl 0.5000 0.5000 0.0000  4 Cd 3.16, 2 Tl 3.27, 8 Li 3.43
Li 0.1655 0.6655 0.5000  6 Cd 2.85-2.91
Li 0.6655 0.8345 0.5000  6 Cd 2.85-2.91
Li 0.8345 0.3345 0.5000  6 Cd 2.85-2.91
Li 0.3345 0.1655 0.5000  6 Cd 2.85-2.91
Cd 0.3692 0.8692 0.0000  6 Li 2.85-2.91, 1 Cd 2.99, 2 Tl 3.16
Cd 0.8692 0.6308 0.0000  6 Li 2.85-2.91, 1 Cd 2.99, 2 Tl 3.16
Cd 0.6308 0.1308 0.0000  6 Li 2.85-2.91, 1 Cd 2.99, 2 Tl 3.16
Cd 0.1308 0.3692 0.0000  6 Li 2.85-2.91, 1 Cd 2.99, 2 Tl 3.16

---

> Which of these has the lowest energy of formation?

Li3Tl2Cd2

---

Repeat the third record exactly.
A relaxed LiTl6Cd crystal. Source: Alexandria via LeMat-Bulk, functional PBE.

Computed properties:
Distance to the lowest polymorph of the same formula   13 meV/atom
Energy of formation   0.013 eV per atom

abc: 7.7549 9.1503 6.0691
angles: 45.51 48.63 62.78
With the nearest neighbours (Å) after each atom.
Fractional coordinates of all 8 atoms:
Li 0.5000 0.5000 0.5000  6 Tl 3.05-3.34
Tl 0.0143 0.5649 0.6700  1 Li 3.05, 1 Cd 3.15, 3 Tl 3.15-3.40
Tl 0.7461 0.9184 0.8417  1 Li 3.07, 3 Tl 3.10-3.40, 1 Cd 3.19
Tl 0.5313 0.2537 0.2533  7 Tl 3.25-3.60, 2 Cd 3.30-3.50, 2 Li 3.34-3.55
Tl 0.2539 0.0816 0.1583  1 Li 3.07, 3 Tl 3.10-3.40, 1 Cd 3.19
Tl 0.9857 0.4351 0.3300  1 Li 3.05, 1 Cd 3.15, 3 Tl 3.15-3.40
Tl 0.4687 0.7463 0.7467  7 Tl 3.25-3.60, 2 Cd 3.30-3.50, 2 Li 3.34-3.55
Cd 0.0000 0.0000 0.0000  8 Tl 3.15-3.50